No. 1
# YZrB

Crystalline YZrB at its relaxed geometry (PBE, OQMD via LeMat-Bulk).

CIF file:
```
data_YZrB
_chemical_formula_sum 'Y4 Zr4 B4'
_symmetry_space_group_name_H-M 'F -4 3 m'
_symmetry_Int_Tables_number 216
_symmetry_space_group_name_Hall 'F -4 2 3'
_cell_length_a 6.1682
_cell_length_b 6.1682
_cell_length_c 6.1682
_cell_angle_alpha 90.00
_cell_angle_beta 90.00
_cell_angle_gamma 90.00
loop_
_atom_site_label
_atom_site_fract_x
_atom_site_fract_y
_atom_site_fract_z
_atom_site_occupancy
Y1 0.0000 0.0000 0.0000 1
Zr1 0.0000 0.0000 0.5000 1
B1 0.2500 0.2500 0.2500 1
```

No. 2
# ZnB

Crystalline ZnB at its relaxed geometry (PBE, OQMD via LeMat-Bulk).

CIF file:
```
data_ZnB
_chemical_formula_sum 'Zn1 B1'
_symmetry_space_group_name_H-M 'P -6 m 2'
_symmetry_Int_Tables_number 187
_symmetry_space_group_name_Hall 'P -6 2'
_cell_length_a 2.7419
_cell_length_b 2.7419
_cell_length_c 3.4720
_cell_angle_alpha 90.00
_cell_angle_beta 90.00
_cell_angle_gamma 120.00
loop_
_atom_site_label
_atom_site_fract_x
_atom_site_fract_y
_atom_site_fract_z
_atom_site_occupancy
Zn1 0.0000 0.0000 0.0000 1
B1 0.3333 0.6667 0.5000 1
```

No. 3
# ZnB

Crystalline ZnB at its relaxed geometry (PBE, OQMD via LeMat-Bulk).

CIF file:
```
data_ZnB
_chemical_formula_sum 'Zn6 B6'
_symmetry_space_group_name_H-M 'P 1'
_symmetry_Int_Tables_number 1
_cell_length_a 3.0682
_cell_length_b 5.2065
_cell_length_c 8.8288
_cell_angle_alpha 105.30
_cell_angle_beta 90.01
_cell_angle_gamma 90.27
loop_
_symmetry_equiv_pos_as_xyz
'x,y,z'
loop_
_atom_site_label
_atom_site_fract_x
_atom_site_fract_y
_atom_site_fract_z
_atom_site_occupancy
Zn1 0.0000 0.0000 0.0000 1
Zn2 0.0003 0.3041 0.3684 1
Zn3 0.0091 0.5458 0.0644 1
Zn4 0.4935 0.0570 0.7619 1
Zn5 0.5047 0.7588 0.3426 1
Zn6 0.9964 0.5814 0.7695 1
B1 0.4926 0.6374 0.5713 1
B2 0.4940 0.3062 0.5858 1
B3 0.4990 0.0212 0.2021 1
B4 0.5048 0.3021 0.1543 1
B5 0.9922 0.1412 0.5772 1
B6 0.9947 0.7927 0.5577 1
```

No. 4
# ZnB

Crystalline ZnB at its relaxed geometry (PBE, OQMD via LeMat-Bulk).

CIF file:
```
data_ZnB
_chemical_formula_sum 'Zn4 B4'
_symmetry_space_group_name_H-M 'F -4 3 m'
_symmetry_Int_Tables_number 216
_symmetry_space_group_name_Hall 'F -4 2 3'
_cell_length_a 4.8911
_cell_length_b 4.8911
_cell_length_c 4.8911
_cell_angle_alpha 90.00
_cell_angle_beta 90.00
_cell_angle_gamma 90.00
loop_
_atom_site_label
_atom_site_fract_x
_atom_site_fract_y
_atom_site_fract_z
_atom_site_occupancy
Zn1 0.0000 0.0000 0.0000 1
B1 0.2500 0.2500 0.2500 1
```

No. 5
# ZnB

Crystalline ZnB at its relaxed geometry (PBE, OQMD via LeMat-Bulk).

CIF file:
```
data_ZnB
_chemical_formula_sum 'Zn2 B2'
_symmetry_space_group_name_H-M 'P m m n'
_symmetry_Int_Tables_number 59
_cell_length_a 2.4182
_cell_length_b 5.2038
_cell_length_c 3.6846
_cell_angle_alpha 90.00
_cell_angle_beta 90.00
_cell_angle_gamma 90.00
loop_
_symmetry_equiv_pos_as_xyz
'x,y,z'
'-x,-y,-z'
'-x+1/2,-y+1/2,z'
'x+1/2,y+1/2,-z'
'x+1/2,-y,-z'
'-x+1/2,y,z'
'-x,y+1/2,-z'
'x,-y+1/2,z'
loop_
_atom_site_label
_atom_site_fract_x
_atom_site_fract_y
_atom_site_fract_z
_atom_site_occupancy
Zn1 0.2500 0.2500 0.1387 1
B1 0.2500 0.7500 0.3681 1
```

No. 6
# ZnB

Crystalline ZnB at its relaxed geometry (PBE, OQMD via LeMat-Bulk).

CIF file:
```
data_ZnB
_chemical_formula_sum 'Zn5 B5'
_symmetry_space_group_name_H-M 'P 1 m 1'
_symmetry_Int_Tables_number 6
_cell_length_a 4.0281
_cell_length_b 2.9958
_cell_length_c 9.2078
_cell_angle_alpha 90.00
_cell_angle_beta 98.15
_cell_angle_gamma 90.00
loop_
_symmetry_equiv_pos_as_xyz
'x,y,z'
'x,-y,z'
loop_
_atom_site_label
_atom_site_fract_x
_atom_site_fract_y
_atom_site_fract_z
_atom_site_occupancy
Zn1 0.0000 0.0000 0.0000 1
Zn2 0.0877 0.5000 0.2573 1
Zn3 0.4375 0.0000 0.8226 1
Zn4 0.5260 0.5000 0.0807 1
Zn5 0.6337 0.0000 0.3638 1
B1 0.0942 0.5000 0.6509 1
B2 0.1579 0.0000 0.4565 1
B3 0.3372 0.5000 0.5109 1
B4 0.6652 0.5000 0.6567 1
B5 0.9003 0.0000 0.7104 1
```

No. 7
# ZnB

Crystalline ZnB at its relaxed geometry (PBE, OQMD via LeMat-Bulk).

CIF file:
```
data_ZnB
_chemical_formula_sum 'Zn4 B4'
_symmetry_space_group_name_H-M 'F m -3 m'
_symmetry_Int_Tables_number 225
_symmetry_space_group_name_Hall '-F 4 2 3'
_cell_length_a 4.5437
_cell_length_b 4.5437
_cell_length_c 4.5437
_cell_angle_alpha 90.00
_cell_angle_beta 90.00
_cell_angle_gamma 90.00
loop_
_atom_site_label
_atom_site_fract_x
_atom_site_fract_y
_atom_site_fract_z
_atom_site_occupancy
Zn1 0.0000 0.0000 0.0000 1
B1 0.0000 0.0000 0.5000 1
```

No. 8
# ZnB

Crystalline ZnB at its relaxed geometry (PBE, OQMD via LeMat-Bulk).

CIF file:
```
data_ZnB
_chemical_formula_sum 'Zn4 B4'
_symmetry_space_group_name_H-M 'C m m e'
_symmetry_Int_Tables_number 67
_symmetry_space_group_name_Hall '-C 2a 2'
_cell_length_a 3.1329
_cell_length_b 5.1954
_cell_length_c 6.1472
_cell_angle_alpha 90.00
_cell_angle_beta 90.00
_cell_angle_gamma 90.00
loop_
_atom_site_label
_atom_site_fract_x
_atom_site_fract_y
_atom_site_fract_z
_atom_site_occupancy
Zn1 0.0000 0.2500 0.1623 1
B1 0.0000 0.2500 0.5210 1
```

no.,total energy (Ha/atom),volume (Å³ per cell)
1,-0.2634,235
2,-0.1038,23
3,-0.1318,136
4,-0.0966,117
5,-0.1076,46
6,-0.1350,110
7,-0.1032,94
8,-0.1272,100